Record 1
A plane-wave DFT calculation with PBE was carried out for a relaxed CdSeNO2 crystal.

Uncorrected formation energy: 0.321 eV per atom
Size of the total moment: 0.1 Bohr magnetons per cell
Calculated total energy: -4.2076 eV per atom

Lattice parameters (Å, degrees): 3.871 3.871 3.997 90.00 90.00 90.00
Fractional positions:
Cd: 0.000 0.000 0.000
Se: 0.500 0.500 0.500
N: 0.500 0.500 0.000
O: 0.000 0.500 0.500
O: 0.500 0.000 0.500

=====

Record 2
A plane-wave DFT calculation with PBE was carried out for a relaxed CeZnN crystal.

Uncorrected formation energy: -0.828 eV per atom
Size of the total moment: 1.6 Bohr magnetons per cell
Calculated total energy: -6.0054 eV per atom
Energy above the lowest structure with this stoichiometry: 0 meV per atom

Lattice parameters (Å, degrees): 18.383 3.454 3.462 90.00 90.00 90.00
Fractional positions:
Ce: 0.177 0.250 0.229
Ce: 0.323 0.750 0.729
Ce: 0.677 0.250 0.271
Ce: 0.823 0.750 0.771
Zn: 0.013 0.750 0.250
Zn: 0.487 0.250 0.750
Zn: 0.513 0.750 0.250
Zn: 0.987 0.250 0.750
N: 0.199 0.750 0.730
N: 0.301 0.250 0.230
N: 0.699 0.750 0.770
N: 0.801 0.250 0.270

=====

What did the first record say?
A plane-wave DFT calculation with PBE was carried out for a relaxed CdSeNO2 crystal.

Uncorrected formation energy: 0.321 eV per atom
Size of the total moment: 0.1 Bohr magnetons per cell
Calculated total energy: -4.2076 eV per atom

Lattice parameters (Å, degrees): 3.871 3.871 3.997 90.00 90.00 90.00
Fractional positions:
Cd: 0.000 0.000 0.000
Se: 0.500 0.500 0.500
N: 0.500 0.500 0.000
O: 0.000 0.500 0.500
O: 0.500 0.000 0.500

=====

Copy entry 2 word for word.
A plane-wave DFT calculation with PBE was carried out for a relaxed CeZnN crystal.

Uncorrected formation energy: -0.828 eV per atom
Size of the total moment: 1.6 Bohr magnetons per cell
Calculated total energy: -6.0054 eV per atom
Energy above the lowest structure with this stoichiometry: 0 meV per atom

Lattice parameters (Å, degrees): 18.383 3.454 3.462 90.00 90.00 90.00
Fractional positions:
Ce: 0.177 0.250 0.229
Ce: 0.323 0.750 0.729
Ce: 0.677 0.250 0.271
Ce: 0.823 0.750 0.771
Zn: 0.013 0.750 0.250
Zn: 0.487 0.250 0.750
Zn: 0.513 0.750 0.250
Zn: 0.987 0.250 0.750
N: 0.199 0.750 0.730
N: 0.301 0.250 0.230
N: 0.699 0.750 0.770
N: 0.801 0.250 0.270

=====

Repeat the second record exactly.
A plane-wave DFT calculation with PBE was carried out for a relaxed CeZnN crystal.

Uncorrected formation energy: -0.828 eV per atom
Size of the total moment: 1.6 Bohr magnetons per cell
Calculated total energy: -6.0054 eV per atom
Energy above the lowest structure with this stoichiometry: 0 meV per atom

Lattice parameters (Å, degrees): 18.383 3.454 3.462 90.00 90.00 90.00
Fractional positions:
Ce: 0.177 0.250 0.229
Ce: 0.323 0.750 0.729
Ce: 0.677 0.250 0.271
Ce: 0.823 0.750 0.771
Zn: 0.013 0.750 0.250
Zn: 0.487 0.250 0.750
Zn: 0.513 0.750 0.250
Zn: 0.987 0.250 0.750
N: 0.199 0.750 0.730
N: 0.301 0.250 0.230
N: 0.699 0.750 0.770
N: 0.801 0.250 0.270